# 1
VASP calculation (PBE) on crystalline Y2RuO at its relaxed geometry.

- density of states at the Fermi level (states/eV/f.u.) = 0.5
- space group = I-42d (122)
- ΔE_f (raw) (eV per atom) = -1.245

CIF file:
```
data_Y2RuO
_chemical_formula_sum 'Y4 Ru2 O2'
_cell_length_a 6.0298
_cell_length_b 6.0298
_cell_length_c 6.0298
_cell_angle_alpha 115.24
_cell_angle_beta 115.24
_cell_angle_gamma 98.46
_space_group_name_H-M_alt 'P 1'
_space_group_IT_number 1
loop_
_space_group_symop_operation_xyz
'x,y,z'
loop_
_atom_site_label
_atom_site_type_symbol
_atom_site_fract_x
_atom_site_fract_y
_atom_site_fract_z
Y1 Y 0.0630 0.6250 0.9380
Y2 Y 0.3750 0.3130 0.4380
Y3 Y 0.6870 0.1250 0.0620
Y4 Y 0.8750 0.9370 0.5620
Ru1 Ru 0.2500 0.7500 0.5000
Ru2 Ru 0.5000 0.5000 0.0000
O1 O 0.0000 0.0000 0.0000
O2 O 0.7500 0.2500 0.5000
```

# 2
VASP calculation (PBE) on crystalline TmSc2Al at its relaxed geometry.

- density of states at the Fermi level (states/eV/f.u.) = 4.4
- space group = R3m (160)
- formation enthalpy at 0 K (kcal/mol of atoms) = -1.9

CIF file:
```
data_TmSc2Al
_chemical_formula_sum 'Tm1 Sc2 Al1'
_cell_length_a 10.2070
_cell_length_b 10.2070
_cell_length_c 10.2070
_cell_angle_alpha 18.82
_cell_angle_beta 18.82
_cell_angle_gamma 18.82
_space_group_name_H-M_alt 'P 1'
_space_group_IT_number 1
loop_
_space_group_symop_operation_xyz
'x,y,z'
loop_
_atom_site_label
_atom_site_type_symbol
_atom_site_fract_x
_atom_site_fract_y
_atom_site_fract_z
Tm1 Tm 0.0000 0.0000 0.0000
Sc1 Sc 0.2415 0.2415 0.2415
Sc2 Sc 0.4266 0.4266 0.4266
Al1 Al 0.8343 0.8343 0.8343
```

# 3
VASP calculation (PBE) on crystalline TlWN2 at its relaxed geometry.

- density of states at the Fermi level (states/eV/f.u.) = 2.4
- space group = Fm-3m (225)
- ΔE_f (raw) (eV per atom) = 1.678

CIF file:
```
data_TlWN2
_chemical_formula_sum 'Tl1 W1 N2'
_cell_length_a 4.1030
_cell_length_b 4.1030
_cell_length_c 4.1030
_cell_angle_alpha 60.00
_cell_angle_beta 60.00
_cell_angle_gamma 60.00
_space_group_name_H-M_alt 'P 1'
_space_group_IT_number 1
loop_
_space_group_symop_operation_xyz
'x,y,z'
loop_
_atom_site_label
_atom_site_type_symbol
_atom_site_fract_x
_atom_site_fract_y
_atom_site_fract_z
Tl1 Tl 0.0000 0.0000 0.0000
W1 W 0.5000 0.5000 0.5000
N1 N 0.2500 0.2500 0.2500
N2 N 0.7500 0.7500 0.7500
```

# 4
VASP calculation (PBE) on crystalline SbW2Au at its relaxed geometry.

- density of states at the Fermi level (states/eV/f.u.) = 3.2
- space group = P2/m (10)
- ΔE_f (raw) (eV per atom) = 0.694

CIF file:
```
data_SbW2Au
_chemical_formula_sum 'Sb1 W2 Au1'
_cell_length_a 2.9284
_cell_length_b 4.5618
_cell_length_c 5.5302
_cell_angle_alpha 90.00
_cell_angle_beta 99.52
_cell_angle_gamma 90.00
_space_group_name_H-M_alt 'P 1'
_space_group_IT_number 1
loop_
_space_group_symop_operation_xyz
'x,y,z'
loop_
_atom_site_label
_atom_site_type_symbol
_atom_site_fract_x
_atom_site_fract_y
_atom_site_fract_z
Sb1 Sb 0.0000 0.0000 0.0000
W1 W 0.1834 0.5000 0.7326
W2 W 0.8166 0.5000 0.2674
Au1 Au 0.5000 0.0000 0.5000
```

# 5
VASP calculation (PBE) on crystalline Hf3Th12Cd5 at its relaxed geometry.

- density of states at the Fermi level (states/eV/f.u.) = 30.2
- space group = Ia-3d (230)
- formation enthalpy at 0 K (kcal/mol of atoms) = 17.5

CIF file:
```
data_Hf3Th12Cd5
_chemical_formula_sum 'Hf12 Th48 Cd20'
_cell_length_a 15.7973
_cell_length_b 15.7973
_cell_length_c 15.7973
_cell_angle_alpha 109.47
_cell_angle_beta 109.47
_cell_angle_gamma 109.47
_space_group_name_H-M_alt 'P 1'
_space_group_IT_number 1
loop_
_space_group_symop_operation_xyz
'x,y,z'
loop_
_atom_site_label
_atom_site_type_symbol
_atom_site_fract_x
_atom_site_fract_y
_atom_site_fract_z
Hf1 Hf 0.1250 0.2500 0.3750
Hf2 Hf 0.1250 0.3750 0.7500
Hf3 Hf 0.2500 0.3750 0.1250
Hf4 Hf 0.2500 0.8750 0.6250
Hf5 Hf 0.3750 0.1250 0.2500
Hf6 Hf 0.3750 0.7500 0.1250
Hf7 Hf 0.6250 0.2500 0.8750
Hf8 Hf 0.6250 0.8750 0.7500
Hf9 Hf 0.7500 0.1250 0.3750
Hf10 Hf 0.7500 0.6250 0.8750
Hf11 Hf 0.8750 0.6250 0.2500
Hf12 Hf 0.8750 0.7500 0.6250
Th1 Th 0.0686 0.2287 0.1441
Th2 Th 0.0686 0.3399 0.9246
Th3 Th 0.0754 0.6441 0.4153
Th4 Th 0.0754 0.9314 0.6601
Th5 Th 0.0847 0.7287 0.6601
Th6 Th 0.0847 0.8559 0.4246
Th7 Th 0.1441 0.0686 0.2287
Th8 Th 0.1441 0.5754 0.9153
Th9 Th 0.1601 0.2287 0.5847
Th10 Th 0.1601 0.4314 0.5754
Th11 Th 0.2287 0.1441 0.0686
Th12 Th 0.2287 0.5847 0.1601
Th13 Th 0.2713 0.3399 0.9153
Th14 Th 0.2713 0.4314 0.3559
Th15 Th 0.3399 0.9153 0.2713
Th16 Th 0.3399 0.9246 0.0686
Th17 Th 0.3559 0.2713 0.4314
Th18 Th 0.3559 0.5847 0.9246
Th19 Th 0.4153 0.0754 0.6441
Th20 Th 0.4153 0.8399 0.7713
Th21 Th 0.4246 0.0847 0.8559
Th22 Th 0.4246 0.8399 0.5686
Th23 Th 0.4314 0.3559 0.2713
Th24 Th 0.4314 0.5754 0.1601
Th25 Th 0.5686 0.4246 0.8399
Th26 Th 0.5686 0.6441 0.7287
Th27 Th 0.5754 0.1601 0.4314
Th28 Th 0.5754 0.9153 0.1441
Th29 Th 0.5847 0.1601 0.2287
Th30 Th 0.5847 0.9246 0.3559
Th31 Th 0.6441 0.4153 0.0754
Th32 Th 0.6441 0.7287 0.5686
Th33 Th 0.6601 0.0754 0.9314
Th34 Th 0.6601 0.0847 0.7287
Th35 Th 0.7287 0.5686 0.6441
Th36 Th 0.7287 0.6601 0.0847
Th37 Th 0.7713 0.4153 0.8399
Th38 Th 0.7713 0.8559 0.9314
Th39 Th 0.8399 0.5686 0.4246
Th40 Th 0.8399 0.7713 0.4153
Th41 Th 0.8559 0.4246 0.0847
Th42 Th 0.8559 0.9314 0.7713
Th43 Th 0.9153 0.1441 0.5754
Th44 Th 0.9153 0.2713 0.3399
Th45 Th 0.9246 0.0686 0.3399
Th46 Th 0.9246 0.3559 0.5847
Th47 Th 0.9314 0.6601 0.0754
Th48 Th 0.9314 0.7713 0.8559
Cd1 Cd 0.0000 0.0000 0.0000
Cd2 Cd 0.0000 0.0000 0.5000
Cd3 Cd 0.0000 0.5000 0.0000
Cd4 Cd 0.0000 0.5000 0.5000
Cd5 Cd 0.1250 0.7500 0.8750
Cd6 Cd 0.1250 0.8750 0.2500
Cd7 Cd 0.2500 0.1250 0.8750
Cd8 Cd 0.2500 0.6250 0.3750
Cd9 Cd 0.3750 0.2500 0.6250
Cd10 Cd 0.3750 0.6250 0.7500
Cd11 Cd 0.5000 0.0000 0.0000
Cd12 Cd 0.5000 0.0000 0.5000
Cd13 Cd 0.5000 0.5000 0.0000
Cd14 Cd 0.5000 0.5000 0.5000
Cd15 Cd 0.6250 0.3750 0.2500
Cd16 Cd 0.6250 0.7500 0.3750
Cd17 Cd 0.7500 0.3750 0.6250
Cd18 Cd 0.7500 0.8750 0.1250
Cd19 Cd 0.8750 0.1250 0.7500
Cd20 Cd 0.8750 0.2500 0.1250
```

# 6
VASP calculation (PBE) on crystalline Y3Ho2Cd2 at its relaxed geometry.

- density of states at the Fermi level (states/eV/f.u.) = 7.0
- space group = Cmmm (65)
- formation enthalpy at 0 K (kcal/mol of atoms) = -1.4

CIF file:
```
data_Y3Ho2Cd2
_chemical_formula_sum 'Y3 Ho2 Cd2'
_cell_length_a 11.6490
_cell_length_b 11.6490
_cell_length_c 3.4711
_cell_angle_alpha 90.00
_cell_angle_beta 90.00
_cell_angle_gamma 154.88
_space_group_name_H-M_alt 'P 1'
_space_group_IT_number 1
loop_
_space_group_symop_operation_xyz
'x,y,z'
loop_
_atom_site_label
_atom_site_type_symbol
_atom_site_fract_x
_atom_site_fract_y
_atom_site_fract_z
Y1 Y 0.0000 0.0000 0.0000
Y2 Y 0.1469 0.8531 0.0000
Y3 Y 0.8531 0.1469 0.0000
Ho1 Ho 0.2893 0.7107 0.5000
Ho2 Ho 0.7107 0.2893 0.5000
Cd1 Cd 0.4310 0.5690 0.5000
Cd2 Cd 0.5690 0.4310 0.5000
```